[1]
Material: YHoZr2
Method: DFT, GGA-PBE
State: optimized geometry

- Energy above the most stable polymorph in this dataset: 13 meV/atom
- Total magnetic moment: 0.0000 μB per atom
- Density of states at the Fermi level: 1.334 states/eV per atom

a b c (Å): 4.7039 4.7039 4.8161
angles (deg): 90.00 90.00 90.00
Last column: nearest neighbours and their distance in Å.
Space group P4/mmm (No. 123)
Unique sites:
Y  0.0000  0.0000  0.0000 x1  4 Ho 3.33, 8 Zr 3.37
Ho  0.5000  0.5000  0.0000 x1  4 Y 3.33, 8 Zr 3.37
Zr  0.0000  0.5000  0.5000 x2  4 Zr 3.33, 4 Ho 3.37, 4 Y 3.37


[2]
Material: MnCrP
Method: DFT, GGA-PBE
State: optimized geometry

- Total magnetic moment: 0.0000 μB per atom
- Density of states at the Fermi level: 0.344 states/eV per atom

a b c (Å): 5.3095 5.3095 5.3095
angles (deg): 90.00 90.00 90.00
Last column: nearest neighbours and their distance in Å.
Space group F-43m (No. 216)
Unique sites:
Mn  0.0000  0.0000  0.0000 x4  4 P 2.30, 4 Cr 2.30
Cr  0.2500  0.2500  0.7500 x4  4 Mn 2.30
P  0.2500  0.2500  0.2500 x4  4 Mn 2.30


| no. | total DFT energy (no corrections) (eV per cell) |
| --- | --- |
| 1 | -27.63 |
| 2 | -100.96 |